#w
Entry from Alexandria via LeMat-Bulk: a geometry-optimized GaBRu structure (GGA-PBE).

```
data_GaBRu
_chemical_formula_sum 'Ga4 B4 Ru4'
_cell_length_a 8.546
_cell_length_b 3.006
_cell_length_c 5.694
_cell_angle_alpha 90.00
_cell_angle_beta 90.00
_cell_angle_gamma 90.00
_symmetry_space_group_name_H-M 'P n m a'
_symmetry_Int_Tables_number 62
loop_
_symmetry_equiv_pos_as_xyz
'x,y,z'
'-x,-y,-z'
'-x+1/2,-y,z+1/2'
'x+1/2,y,-z+1/2'
'x+1/2,-y+1/2,-z+1/2'
'-x+1/2,y+1/2,z+1/2'
'-x,y+1/2,-z'
'x,-y+1/2,z'
loop_
_atom_site_label
_atom_site_fract_x
_atom_site_fract_y
_atom_site_fract_z
_atom_site_occupancy
Ga1 0.135 0.250 0.018 1
B1 0.171 0.250 0.405 1
Ru1 0.085 0.750 0.654 1
```

Computed properties:
Total magnetization: 0.00 Bohr magnetons per cell



#x
Entry from Alexandria via LeMat-Bulk: a geometry-optimized GaBRu structure (GGA-PBE).

```
data_GaBRu
_chemical_formula_sum 'Ga2 B2 Ru2'
_cell_length_a 2.886
_cell_length_b 2.886
_cell_length_c 8.582
_cell_angle_alpha 90.00
_cell_angle_beta 90.00
_cell_angle_gamma 90.00
_symmetry_space_group_name_H-M 'I 4 m m'
_symmetry_Int_Tables_number 107
_symmetry_space_group_name_Hall 'I 4 -2'
loop_
_atom_site_label
_atom_site_fract_x
_atom_site_fract_y
_atom_site_fract_z
_atom_site_occupancy
Ga1 0.000 0.000 0.000 1
B1 0.000 0.000 0.698 1
Ru1 0.000 0.000 0.292 1
```

Computed properties:
Total magnetization: 0.00 Bohr magnetons per cell



Quick ranking, most stable first: #w, #x.



#w
Entry from Alexandria via LeMat-Bulk: a geometry-optimized Ga3BS structure (GGA-PBE).

```
data_Ga3BS
_chemical_formula_sum 'Ga3 B1 S1'
_cell_length_a 4.396
_cell_length_b 4.396
_cell_length_c 4.396
_cell_angle_alpha 90.00
_cell_angle_beta 90.00
_cell_angle_gamma 90.00
_symmetry_space_group_name_H-M 'P m -3 m'
_symmetry_Int_Tables_number 221
_symmetry_space_group_name_Hall '-P 4 2 3'
loop_
_atom_site_label
_atom_site_fract_x
_atom_site_fract_y
_atom_site_fract_z
_atom_site_occupancy
Ga1 0.000 0.000 0.500 1
B1 0.000 0.000 0.000 1
S1 0.500 0.500 0.500 1
```

Computed properties:
Total magnetization: 0.00 Bohr magnetons per cell



#x
Entry from Alexandria via LeMat-Bulk: a geometry-optimized Ga3BS structure (GGA-PBE).

```
data_Ga3BS
_chemical_formula_sum 'Ga3 B1 S1'
_cell_length_a 4.847
_cell_length_b 4.847
_cell_length_c 4.847
_cell_angle_alpha 90.00
_cell_angle_beta 90.00
_cell_angle_gamma 90.00
_symmetry_space_group_name_H-M 'P m -3 m'
_symmetry_Int_Tables_number 221
_symmetry_space_group_name_Hall '-P 4 2 3'
loop_
_atom_site_label
_atom_site_fract_x
_atom_site_fract_y
_atom_site_fract_z
_atom_site_occupancy
Ga1 0.000 0.000 0.500 1
B1 0.500 0.500 0.500 1
S1 0.000 0.000 0.000 1
```

Computed properties:
Total magnetization: 0.00 Bohr magnetons per cell



Quick ranking, most stable first: #w, #x.



#w
Entry from Alexandria via LeMat-Bulk: a geometry-optimized GaB2S structure (GGA-PBE).

```
data_GaB2S
_chemical_formula_sum 'Ga4 B8 S4'
_cell_length_a 4.749
_cell_length_b 4.749
_cell_length_c 9.109
_cell_angle_alpha 90.00
_cell_angle_beta 90.00
_cell_angle_gamma 90.00
_symmetry_space_group_name_H-M 'I -4 2 d'
_symmetry_Int_Tables_number 122
_symmetry_space_group_name_Hall 'I -4 2bw'
loop_
_atom_site_label
_atom_site_fract_x
_atom_site_fract_y
_atom_site_fract_z
_atom_site_occupancy
Ga1 0.000 0.000 0.000 1
B1 0.215 0.250 0.625 1
S1 0.000 0.000 0.500 1
```

Computed properties:
Total magnetization: 0.00 Bohr magnetons per cell



#x
Entry from Alexandria via LeMat-Bulk: a geometry-optimized GaB2S structure (GGA-PBE).

```
data_GaB2S
_chemical_formula_sum 'Ga4 B8 S4'
_cell_length_a 5.693
_cell_length_b 5.693
_cell_length_c 5.693
_cell_angle_alpha 90.00
_cell_angle_beta 90.00
_cell_angle_gamma 90.00
_symmetry_space_group_name_H-M 'F m -3 m'
_symmetry_Int_Tables_number 225
_symmetry_space_group_name_Hall '-F 4 2 3'
loop_
_atom_site_label
_atom_site_fract_x
_atom_site_fract_y
_atom_site_fract_z
_atom_site_occupancy
Ga1 0.000 0.000 0.000 1
B1 0.250 0.250 0.250 1
S1 0.000 0.000 0.500 1
```

Computed properties:
Total magnetization: 0.00 Bohr magnetons per cell



Quick ranking, most stable first: #w, #x.



#w
Entry from Alexandria via LeMat-Bulk: a geometry-optimized GaB2S2 structure (GGA-PBE).

```
data_GaB2S2
_chemical_formula_sum 'Ga2 B4 S4'
_cell_length_a 4.192
_cell_length_b 4.192
_cell_length_c 6.996
_cell_angle_alpha 90.00
_cell_angle_beta 90.00
_cell_angle_gamma 90.00
_symmetry_space_group_name_H-M 'I 4/m m m'
_symmetry_Int_Tables_number 139
_symmetry_space_group_name_Hall '-I 4 2'
loop_
_atom_site_label
_atom_site_fract_x
_atom_site_fract_y
_atom_site_fract_z
_atom_site_occupancy
Ga1 0.000 0.000 0.000 1
B1 0.000 0.000 0.372 1
S1 0.000 0.500 0.250 1
```

Computed properties:
Total magnetization: 0.00 Bohr magnetons per cell



#x
Entry from Alexandria via LeMat-Bulk: a geometry-optimized GaB2S2 structure (GGA-PBE).

```
data_GaB2S2
_chemical_formula_sum 'Ga2 B4 S4'
_cell_length_a 7.656
_cell_length_b 7.656
_cell_length_c 3.007
_cell_angle_alpha 90.00
_cell_angle_beta 90.00
_cell_angle_gamma 90.00
_symmetry_space_group_name_H-M 'P 4/m b m'
_symmetry_Int_Tables_number 127
_symmetry_space_group_name_Hall '-P 4 2ab'
loop_
_atom_site_label
_atom_site_fract_x
_atom_site_fract_y
_atom_site_fract_z
_atom_site_occupancy
Ga1 0.000 0.000 0.000 1
B1 0.075 0.425 0.000 1
S1 0.173 0.327 0.500 1
```

Computed properties:
Total magnetization: 0.00 Bohr magnetons per cell



Quick ranking, most stable first: #x, #w.



#w
Entry from Alexandria via LeMat-Bulk: a geometry-optimized Ga2BS structure (GGA-PBE).

```
data_Ga2BS
_chemical_formula_sum 'Ga8 B4 S4'
_cell_length_a 6.223
_cell_length_b 6.223
_cell_length_c 6.223
_cell_angle_alpha 90.00
_cell_angle_beta 90.00
_cell_angle_gamma 90.00
_symmetry_space_group_name_H-M 'F m -3 m'
_symmetry_Int_Tables_number 225
_symmetry_space_group_name_Hall '-F 4 2 3'
loop_
_atom_site_label
_atom_site_fract_x
_atom_site_fract_y
_atom_site_fract_z
_atom_site_occupancy
Ga1 0.250 0.250 0.250 1
B1 0.000 0.000 0.000 1
S1 0.000 0.000 0.500 1
```

Computed properties:
Total magnetization: 0.00 Bohr magnetons per cell



#x
Entry from Alexandria via LeMat-Bulk: a geometry-optimized Ga2BS structure (GGA-PBE).

```
data_Ga2BS
_chemical_formula_sum 'Ga8 B4 S4'
_cell_length_a 5.255
_cell_length_b 5.255
_cell_length_c 10.286
_cell_angle_alpha 90.00
_cell_angle_beta 90.00
_cell_angle_gamma 90.00
_symmetry_space_group_name_H-M 'I -4 2 d'
_symmetry_Int_Tables_number 122
_symmetry_space_group_name_Hall 'I -4 2bw'
loop_
_atom_site_label
_atom_site_fract_x
_atom_site_fract_y
_atom_site_fract_z
_atom_site_occupancy
Ga1 0.193 0.250 0.125 1
B1 0.000 0.000 0.000 1
S1 0.000 0.000 0.500 1
```

Computed properties:
Total magnetization: 0.00 Bohr magnetons per cell



Quick ranking, most stable first: #x, #w.



#w
Entry from Alexandria via LeMat-Bulk: a geometry-optimized ZrGa2BS structure (GGA-PBE).

```
data_ZrGa2BS
_chemical_formula_sum 'Zr1 Ga2 B1 S1'
_cell_length_a 5.100
_cell_length_b 5.100
_cell_length_c 3.568
_cell_angle_alpha 90.00
_cell_angle_beta 90.00
_cell_angle_gamma 90.00
_symmetry_space_group_name_H-M 'P 4/m m m'
_symmetry_Int_Tables_number 123
_symmetry_space_group_name_Hall '-P 4 2'
loop_
_atom_site_label
_atom_site_fract_x
_atom_site_fract_y
_atom_site_fract_z
_atom_site_occupancy
Zr1 0.000 0.000 0.000 1
Ga1 0.000 0.500 0.500 1
B1 0.500 0.500 0.000 1
S1 0.500 0.500 0.500 1
```

Computed properties:
Total magnetization: 0.00 Bohr magnetons per cell



#x
Entry from Alexandria via LeMat-Bulk: a geometry-optimized ZrGa2BS structure (GGA-PBE).

```
data_ZrGa2BS
_chemical_formula_sum 'Zr1 Ga2 B1 S1'
_cell_length_a 3.947
_cell_length_b 3.947
_cell_length_c 5.613
_cell_angle_alpha 90.00
_cell_angle_beta 90.00
_cell_angle_gamma 90.00
_symmetry_space_group_name_H-M 'P 4/m m m'
_symmetry_Int_Tables_number 123
_symmetry_space_group_name_Hall '-P 4 2'
loop_
_atom_site_label
_atom_site_fract_x
_atom_site_fract_y
_atom_site_fract_z
_atom_site_occupancy
Zr1 0.000 0.000 0.000 1
Ga1 0.000 0.500 0.500 1
B1 0.500 0.500 0.500 1
S1 0.500 0.500 0.000 1
```

Computed properties:
Total magnetization: 0.00 Bohr magnetons per cell



Quick ranking, most stable first: #x, #w.



#w
Entry from Alexandria via LeMat-Bulk: a geometry-optimized GaBSb2 structure (GGA-PBE).

```
data_GaBSb2
_chemical_formula_sum 'Ga4 B4 Sb8'
_cell_length_a 5.782
_cell_length_b 5.782
_cell_length_c 11.241
_cell_angle_alpha 90.00
_cell_angle_beta 90.00
_cell_angle_gamma 90.00
_symmetry_space_group_name_H-M 'I -4 2 d'
_symmetry_Int_Tables_number 122
_symmetry_space_group_name_Hall 'I -4 2bw'
loop_
_atom_site_label
_atom_site_fract_x
_atom_site_fract_y
_atom_site_fract_z
_atom_site_occupancy
Ga1 0.000 0.000 0.000 1
B1 0.000 0.000 0.500 1
Sb1 0.200 0.250 0.625 1
```

Computed properties:
Total magnetization: 0.00 Bohr magnetons per cell



#x
Entry from Alexandria via LeMat-Bulk: a geometry-optimized GaBSb2 structure (GGA-PBE).

```
data_GaBSb2
_chemical_formula_sum 'Ga4 B4 Sb8'
_cell_length_a 6.877
_cell_length_b 6.877
_cell_length_c 6.877
_cell_angle_alpha 90.00
_cell_angle_beta 90.00
_cell_angle_gamma 90.00
_symmetry_space_group_name_H-M 'F m -3 m'
_symmetry_Int_Tables_number 225
_symmetry_space_group_name_Hall '-F 4 2 3'
loop_
_atom_site_label
_atom_site_fract_x
_atom_site_fract_y
_atom_site_fract_z
_atom_site_occupancy
Ga1 0.000 0.000 0.000 1
B1 0.000 0.000 0.500 1
Sb1 0.250 0.250 0.250 1
```

Computed properties:
Total magnetization: 0.00 Bohr magnetons per cell



Quick ranking, most stable first: #w, #x.